A relaxed RbMg3Ru crystal. Source: the Alexandria database, functional PBE.

* total DFT energy (no corrections): -13.9 eV/cell
* DFT formation energy: 0.22 eV/atom
* energy above the most stable polymorph in this dataset: 0 meV per atom
* total moment: 0.0 μB/f.u.

Cell lengths 5.1948, 5.1948, 5.1948 Å; angles 90.00, 90.00, 90.00 degrees
Element x y z (fractional)
Rb1 0.0000 0.0000 0.0000
Mg1 0.0000 0.5000 0.5000
Mg2 0.5000 0.0000 0.5000
Mg3 0.5000 0.5000 0.0000
Ru1 0.5000 0.5000 0.5000

=====

A relaxed RbMgSn2Ru crystal. Source: the Alexandria database, functional PBE.

* total DFT energy (no corrections): -20.2 eV/cell
* DFT formation energy: -0.07 eV/atom
* total moment: 0.0 μB/f.u.

Cell lengths 5.1833, 5.1833, 5.2258 Å; angles 90.00, 90.00, 90.00 degrees
Element x y z (fractional)
Rb1 0.0000 0.0000 0.0000
Mg1 0.5000 0.5000 0.0000
Sn1 0.0000 0.5000 0.5000
Sn2 0.5000 0.0000 0.5000
Ru1 0.5000 0.5000 0.5000

=====

A relaxed RbMg2SnRu crystal. Source: the Alexandria database, functional PBE.

* total DFT energy (no corrections): -17.7 eV/cell
* DFT formation energy: -0.05 eV/atom
* total moment: 0.0 μB/f.u.

Cell lengths 5.2220, 5.2220, 5.1249 Å; angles 90.00, 90.00, 90.00 degrees
Element x y z (fractional)
Rb1 0.0000 0.0000 0.0000
Mg1 0.0000 0.5000 0.5000
Mg2 0.5000 0.0000 0.5000
Sn1 0.5000 0.5000 0.0000
Ru1 0.5000 0.5000 0.5000

=====

A relaxed RbMgTaRu2 crystal. Source: the Alexandria database, functional PBE.

* total DFT energy (no corrections): -25.7 eV/cell
* DFT formation energy: 1.46 eV/atom
* total moment: 0.0 μB/f.u.

Cell lengths 4.7936, 4.7936, 5.8426 Å; angles 90.00, 90.00, 90.00 degrees
Element x y z (fractional)
Rb1 0.0000 0.0000 0.0000
Mg1 0.5000 0.5000 0.0000
Ta1 0.0000 0.0000 0.5000
Ru1 0.0000 0.5000 0.5000
Ru2 0.5000 0.0000 0.5000

=====

A relaxed RbMgTl2Ru crystal. Source: the Alexandria database, functional PBE.

* total DFT energy (no corrections): -16.3 eV/cell
* DFT formation energy: 0.05 eV/atom
* total moment: 0.0 μB/f.u.

Cell lengths 5.3704, 5.3704, 5.1805 Å; angles 90.00, 90.00, 90.00 degrees
Element x y z (fractional)
Rb1 0.0000 0.0000 0.0000
Mg1 0.5000 0.5000 0.0000
Tl1 0.0000 0.5000 0.5000
Tl2 0.5000 0.0000 0.5000
Ru1 0.5000 0.5000 0.5000

=====

A relaxed RbMg2RuW crystal. Source: the Alexandria database, functional PBE.

* total DFT energy (no corrections): -21.3 eV/cell
* DFT formation energy: 1.01 eV/atom
* total moment: 0.0 μB/f.u.

Cell lengths 5.5407, 5.5407, 4.6140 Å; angles 90.00, 90.00, 90.00 degrees
Element x y z (fractional)
Rb1 0.0000 0.0000 0.0000
Mg1 0.0000 0.5000 0.5000
Mg2 0.5000 0.0000 0.5000
Ru1 0.5000 0.5000 0.0000
W1 0.5000 0.5000 0.5000

=====

A relaxed Rb2MgZrRu crystal. Source: the Alexandria database, functional PBE.

* total DFT energy (no corrections): -12.5 eV/cell
* DFT formation energy: 1.77 eV/atom
* total moment: 0.0 μB/f.u.

Cell lengths 6.1149, 6.1149, 4.9317 Å; angles 90.00, 90.00, 90.00 degrees
Element x y z (fractional)
Rb1 0.0000 0.5000 0.0000
Rb2 0.5000 0.0000 0.0000
Mg1 0.0000 0.0000 0.0000
Zr1 0.5000 0.5000 0.5000
Ru1 0.0000 0.0000 0.5000

=====

A relaxed RbMg2S crystal. Source: the Alexandria database, functional PBE.

* total DFT energy (no corrections): -38.2 eV/cell
* energy relative to the elements, uncorrected: -0.3148 eV per atom
* total moment: 0.0 μB/f.u.

Cell lengths 8.8385, 8.8385, 6.3557 Å; angles 90.00, 90.00, 90.00 degrees
Element x y z (fractional)
Rb1 0.0000 0.0000 0.0000
Rb2 0.0000 0.5000 0.2500
Rb3 0.5000 0.0000 0.7500
Rb4 0.5000 0.5000 0.5000
Mg1 0.1547 0.2500 0.6250
Mg2 0.2500 0.6547 0.8750
Mg3 0.2500 0.8453 0.3750
Mg4 0.3453 0.2500 0.1250
Mg5 0.6547 0.7500 0.1250
Mg6 0.7500 0.1547 0.3750
Mg7 0.7500 0.3453 0.8750
Mg8 0.8453 0.7500 0.6250
S1 0.0000 0.0000 0.5000
S2 0.0000 0.5000 0.7500
S3 0.5000 0.0000 0.2500
S4 0.5000 0.5000 0.0000

=====

A relaxed Rb2MgS crystal. Source: the Alexandria database, functional PBE.

* total DFT energy (no corrections): -37.7 eV/cell
* energy relative to the elements, uncorrected: -0.4408 eV per atom
* energy above the most stable polymorph in this dataset: 0 meV per atom
* total moment: 0.0 μB/f.u.

Cell lengths 12.9931, 12.9931, 4.9931 Å; angles 90.00, 90.00, 90.00 degrees
Element x y z (fractional)
Rb1 0.0680 0.2500 0.1250
Rb2 0.2500 0.5680 0.3750
Rb3 0.2500 0.9320 0.8750
Rb4 0.4320 0.2500 0.6250
Rb5 0.5680 0.7500 0.6250
Rb6 0.7500 0.0680 0.8750
Rb7 0.7500 0.4320 0.3750
Rb8 0.9320 0.7500 0.1250
Mg1 0.0000 0.0000 0.5000
Mg2 0.0000 0.5000 0.7500
Mg3 0.5000 0.0000 0.2500
Mg4 0.5000 0.5000 0.0000
S1 0.0000 0.0000 0.0000
S2 0.0000 0.5000 0.2500
S3 0.5000 0.0000 0.7500
S4 0.5000 0.5000 0.5000

=====

A relaxed Rb2Mg2S3 crystal. Source: the Alexandria database, functional PBE.

* total DFT energy (no corrections): -53.5 eV/cell
* energy relative to the elements, uncorrected: -1.3196 eV per atom
* total moment: 0.0 μB/f.u.

Cell lengths 13.8758, 4.1721, 8.1986 Å; angles 90.00, 122.97, 90.00 degrees
Element x y z (fractional)
Rb1 0.0674 0.0000 0.3482
Rb2 0.4326 0.5000 0.6518
Rb3 0.5674 0.5000 0.3482
Rb4 0.9326 0.0000 0.6518
Mg1 0.1907 0.5000 0.0679
Mg2 0.3093 0.0000 0.9321
Mg3 0.6907 0.0000 0.0679
Mg4 0.8093 0.5000 0.9321
S1 0.0000 0.5000 0.0000
S2 0.1965 0.5000 0.7658
S3 0.3035 0.0000 0.2342
S4 0.5000 0.0000 0.0000
S5 0.6965 0.0000 0.7658
S6 0.8035 0.5000 0.2342

=====

A relaxed RbMg2S2 crystal. Source: the Alexandria database, functional PBE.

* total DFT energy (no corrections): -34.4 eV/cell
* energy relative to the elements, uncorrected: -0.9580 eV per atom
* total moment: 0.0 μB/f.u.

Cell lengths 4.4144, 4.4144, 14.5728 Å; angles 90.00, 90.00, 90.00 degrees
Element x y z (fractional)
Rb1 0.0000 0.0000 0.0000
Rb2 0.5000 0.5000 0.5000
Mg1 0.0000 0.5000 0.2500
Mg2 0.0000 0.5000 0.7500
Mg3 0.5000 0.0000 0.2500
Mg4 0.5000 0.0000 0.7500
S1 0.0000 0.0000 0.3398
S2 0.0000 0.0000 0.6602
S3 0.5000 0.5000 0.1602
S4 0.5000 0.5000 0.8398

=====

A relaxed Rb2MgS crystal. Source: the Alexandria database, functional PBE.

* total DFT energy (no corrections): -35.8 eV/cell
* energy relative to the elements, uncorrected: -0.3208 eV per atom
* energy above the most stable polymorph in this dataset: 120 meV per atom
* total moment: 0.0 μB/f.u.

Cell lengths 8.3371, 8.3371, 8.3371 Å; angles 90.00, 90.00, 90.00 degrees
Element x y z (fractional)
Rb1 0.2500 0.2500 0.2500
Rb2 0.2500 0.2500 0.7500
Rb3 0.2500 0.7500 0.2500
Rb4 0.2500 0.7500 0.7500
Rb5 0.7500 0.2500 0.2500
Rb6 0.7500 0.2500 0.7500
Rb7 0.7500 0.7500 0.2500
Rb8 0.7500 0.7500 0.7500
Mg1 0.0000 0.0000 0.0000
Mg2 0.0000 0.5000 0.5000
Mg3 0.5000 0.0000 0.5000
Mg4 0.5000 0.5000 0.0000
S1 0.0000 0.0000 0.5000
S2 0.0000 0.5000 0.0000
S3 0.5000 0.0000 0.0000
S4 0.5000 0.5000 0.5000